No. 1
GGA-PBE ScNiAs4, optimized geometry; calculated volume = 18.91 Å³ per atom; calculated density = 5.905 Mg/m³; space-group type = F-43m; ΔE_f = 0.219 eV/atom; density of states at the Fermi level = 0.62 states/eV per atom
1.0
0.0000 3.8421 3.8421
3.8421 0.0000 3.8421
3.8421 3.8421 0.0000
Sc Ni As
1 1 4
direct
0.0000 0.0000 0.0000
0.2500 0.2500 0.2500
0.1280 0.6240 0.6240
0.6240 0.1280 0.6240
0.6240 0.6240 0.1280
0.6240 0.6240 0.6240

***

No. 2
GGA-PBE ScNiTeAs2, optimized geometry; calculated volume = 29.56 Å³ per atom; calculated density = 4.281 Mg/m³; space-group type = P4/mmm; density of states at the Fermi level = 1.19 states/eV per atom; energy = -19.159 eV/cell
1.0
5.3179 0.0000 0.0000
0.0000 5.3179 0.0000
0.0000 0.0000 5.2266
Sc Ni Te As
1 1 1 2
direct
0.0000 0.0000 0.0000
0.5000 0.5000 0.0000
0.0000 0.0000 0.5000
0.0000 0.5000 0.5000
0.5000 0.0000 0.5000

***

No. 3
GGA-PBE ZrSc2NiAs, optimized geometry; calculated volume = 20.89 Å³ per atom; calculated density = 5.003 Mg/m³; space-group type = P4/mmm; ΔE_f = -0.016 eV/atom; density of states at the Fermi level = 1.13 states/eV per atom
1.0
4.8837 0.0000 0.0000
0.0000 4.8837 0.0000
0.0000 0.0000 4.3800
Zr Sc Ni As
1 2 1 1
direct
0.0000 0.0000 0.0000
0.0000 0.5000 0.5000
0.5000 0.0000 0.5000
0.5000 0.5000 0.5000
0.5000 0.5000 0.0000

***

No. 4
GGA-PBE Ni4As2Se, optimized geometry; calculated volume = 16.95 Å³ per atom; calculated density = 6.490 Mg/m³; space-group type = I4/mmm; density of states at the Fermi level = 1.06 states/eV per atom; energy = -66.202 eV/cell
1.0
4.4202 0.0000 0.0000
0.0000 4.4202 0.0000
0.0000 0.0000 12.1423
Ni As Se
8 4 2
direct
0.0000 0.0000 0.1894
0.0000 0.0000 0.8106
0.0000 0.5000 0.0000
0.0000 0.5000 0.5000
0.5000 0.0000 0.0000
0.5000 0.0000 0.5000
0.5000 0.5000 0.3106
0.5000 0.5000 0.6894
0.0000 0.0000 0.3734
0.0000 0.0000 0.6266
0.5000 0.5000 0.1266
0.5000 0.5000 0.8734
0.0000 0.0000 0.0000
0.5000 0.5000 0.5000

***

Respective size of the total moment values: 0.000, 0.000, 0.367, 0.000 μB/atom.